# PBE-GGA MnPd6Au8, relaxed
data_MnPd6Au8
_symmetry_space_group_name_H-M 'P 1'
_symmetry_Int_Tables_number 1
_cell_length_a 7.6773
_cell_length_b 7.6773
_cell_length_c 7.0536
_cell_angle_alpha 57.03
_cell_angle_beta 57.03
_cell_angle_gamma 60.00
loop_
_symmetry_equiv_pos_as_xyz
'x,y,z'
loop_
_atom_site_label
_atom_site_type_symbol
_atom_site_fract_x
_atom_site_fract_y
_atom_site_fract_z
Mn1 Mn 0.0000 0.0000 0.0000
Pd1 Pd 0.3685 0.0529 0.8573
Pd2 Pd 0.9471 0.2787 0.1427
Pd3 Pd 0.2787 0.6315 0.1427
Pd4 Pd 0.7213 0.3685 0.8573
Pd5 Pd 0.0529 0.7213 0.8573
Pd6 Pd 0.6315 0.9471 0.1427
Au1 Au 0.5398 0.2144 0.3626
Au2 Au 0.7856 0.1168 0.6374
Au3 Au 0.1168 0.4602 0.6374
Au4 Au 0.6734 0.6734 0.9798
Au5 Au 0.3266 0.3266 0.0202
Au6 Au 0.8832 0.5398 0.3626
Au7 Au 0.2144 0.8832 0.3626
Au8 Au 0.4602 0.7856 0.6374
# total energy	-4.4112	eV/atom
# polymorph energy (0 for the lowest one)	0	meV per atom